Here is an optimized crystal structure of Li4AcAg2 from Alexandria. Energies are from PBE-GGA.

Calculated values
formation energy from the elements: -0.171 eV per atom
E: -2.667 eV per atom
space-group type: P4_2/mnm
offset from the most stable computed form: 0 meV per atom

POSCAR file:
```
Li4AcAg2
1.0
-1.390 1.262 -3.989
0.343 -7.906 -2.620
-7.903 -1.137 2.394
Li Ac Ag
8 2 4
Direct
0.000 0.092 0.350 Li
0.000 0.908 0.650 Li
0.500 0.150 0.592 Li
0.500 0.850 0.408 Li
0.500 0.408 0.850 Li
0.500 0.592 0.150 Li
0.000 0.350 0.092 Li
0.000 0.650 0.908 Li
0.500 0.000 0.000 Ac
0.000 0.500 0.500 Ac
0.000 0.217 0.783 Ag
0.000 0.783 0.217 Ag
0.500 0.717 0.717 Ag
0.500 0.283 0.283 Ag
```